(1)
Compound: PuNpFeCo
Source: Alexandria
Functional: PBE
Structure: optimized geometry

magnetic moment = 0.0 μB per formula unit
total energy = -0.3958 Ha/atom
V = 219.2 Å³ per cell
ΔE_f = -23 kJ/mol of formula units

Unit cell a=6.030 b=6.030 c=6.030 alpha=90.00 beta=90.00 gamma=90.00
Space group F-43m (No. 216)
Inequivalent atoms, fractional coordinates:
Pu 0.000 0.000 0.000 x4
Np 0.250 0.250 0.750 x4
Fe 0.000 0.000 0.500 x4
Co 0.250 0.250 0.250 x4

=====

(2)
Compound: NpFeCoSn
Source: Alexandria
Functional: PBE
Structure: optimized geometry

magnetic moment = 0.2 μB per formula unit
total energy = -0.2991 Ha/atom
V = 271.4 Å³ per cell
ΔE_f = -4 kJ/mol of formula units

Unit cell a=6.474 b=6.474 c=6.474 alpha=90.00 beta=90.00 gamma=90.00
Space group F-43m (No. 216)
Inequivalent atoms, fractional coordinates:
Np 0.000 0.000 0.000 x4
Fe 0.250 0.250 0.750 x4
Co 0.250 0.250 0.250 x4
Sn 0.000 0.000 0.500 x4